The following is a meta-GGA SCAN calculation of CoCuSe2N at its PBEsol-relaxed geometry, from Alexandria via LeMat-Bulk.

abc: 4.8652 4.8652 3.4075
angles: 90.00 90.00 90.00
Fractional positions:
Co 0.0000 0.0000 0.0000
Cu 0.5000 0.5000 0.5000
Se 0.0000 0.5000 0.5000
Se 0.5000 0.0000 0.5000
N 0.5000 0.5000 0.0000

Output
* SG: No. 123
* energy relative to the elements, uncorrected: 0.984 eV/atom
* ρ: 6.06 g/cm3
* total magnetization: 0.840 μB per atom

The following is a meta-GGA SCAN calculation of LaAlPCl2 at its PBEsol-relaxed geometry, from Alexandria via LeMat-Bulk.

abc: 5.4136 5.4136 5.5847
angles: 90.00 90.00 90.00
Fractional positions:
La 0.0000 0.0000 0.0000
Al 0.5000 0.5000 0.5000
P 0.0000 0.0000 0.5000
Cl 0.0000 0.5000 0.0000
Cl 0.5000 0.0000 0.0000

Output
* SG: No. 123
* energy relative to the elements, uncorrected: -0.797 eV/atom
* ρ: 2.72 g/cm3
* total magnetization: 0.133 μB per atom
* excess energy over the best structure of this formula in the dataset: 346 meV/atom

The following is a meta-GGA SCAN calculation of HgGeW2Au at its PBEsol-relaxed geometry, from Alexandria via LeMat-Bulk.

abc: 4.6138 4.6138 4.7843
angles: 90.00 90.00 90.00
Fractional positions:
Hg 0.0000 0.0000 0.0000
Ge 0.0000 0.0000 0.5000
W 0.0000 0.5000 0.5000
W 0.5000 0.0000 0.5000
Au 0.5000 0.5000 0.0000

Output
* SG: No. 123
* ρ: 13.66 g/cm3
* ΔH_f (0 K): 1.861 eV per atom
* total magnetization: 0.000 μB per atom

The following is a meta-GGA SCAN calculation of ZrCr2Pb at its PBEsol-relaxed geometry, from Alexandria via LeMat-Bulk.

abc: 4.6769 4.6769 4.6769
angles: 60.00 60.00 60.00
Fractional positions:
Zr 0.0000 0.0000 0.0000
Cr 0.2500 0.2500 0.2500
Cr 0.5000 0.5000 0.5000
Pb 0.7500 0.7500 0.7500

Output
* SG: No. 216
* ρ: 9.24 g/cm3
* ΔH_f (0 K): 0.153 eV per atom
* total magnetization: 0.481 μB per atom

The following is a meta-GGA SCAN calculation of LiSc3Sb at its PBEsol-relaxed geometry, from Alexandria via LeMat-Bulk.

abc: 5.3761 5.3761 5.3761
angles: 90.00 90.00 90.00
Fractional positions:
Li 0.0000 0.0000 0.0000
Sc 0.0000 0.5000 0.5000
Sc 0.5000 0.0000 0.5000
Sc 0.5000 0.5000 0.0000
Sb 0.5000 0.5000 0.5000

Output
* SG: No. 221
* energy relative to the elements, uncorrected: 0.199 eV/atom
* ρ: 2.82 g/cm3
* total magnetization: 0.475 μB per atom

The following is a meta-GGA SCAN calculation of CuAs3N at its PBEsol-relaxed geometry, from Alexandria via LeMat-Bulk.

abc: 4.6199 4.6199 4.6199
angles: 90.00 90.00 90.00
Fractional positions:
Cu 0.0000 0.0000 0.0000
As 0.0000 0.0000 0.5000
As 0.0000 0.5000 0.0000
As 0.5000 0.0000 0.0000
N 0.5000 0.5000 0.5000

Output
* SG: No. 221
* energy relative to the elements, uncorrected: 1.596 eV/atom
* ρ: 5.09 g/cm3
* total magnetization: 0.487 μB per atom

The following is a meta-GGA SCAN calculation of Ba3C2 at its PBEsol-relaxed geometry, from Alexandria via LeMat-Bulk.

abc: 11.0072 11.0072 11.0072
angles: 21.60 21.60 21.60
Fractional positions:
Ba 0.0000 0.0000 0.0000
Ba 0.2328 0.2328 0.2328
Ba 0.7672 0.7672 0.7672
C 0.3912 0.3912 0.3912
C 0.6088 0.6088 0.6088

Output
* SG: No. 166
* ρ: 4.57 g/cm3
* ΔH_f (0 K): 0.832 eV per atom
* total magnetization: 0.414 μB per atom

The following is a meta-GGA SCAN calculation of Ce8InPd24 at its PBEsol-relaxed geometry, from Alexandria via LeMat-Bulk.

abc: 8.3277 8.3277 8.3277
angles: 90.00 90.00 90.00
Fractional positions:
Ce 0.2477 0.2477 0.2477
Ce 0.2477 0.2477 0.7523
Ce 0.2477 0.7523 0.2477
Ce 0.2477 0.7523 0.7523
Ce 0.7523 0.2477 0.2477
Ce 0.7523 0.2477 0.7523
Ce 0.7523 0.7523 0.2477
Ce 0.7523 0.7523 0.7523
In 0.0000 0.0000 0.0000
Pd 0.0000 0.0000 0.3177
Pd 0.0000 0.0000 0.6823
Pd 0.0000 0.2682 0.5000
Pd 0.0000 0.3177 0.0000
Pd 0.0000 0.5000 0.2682
Pd 0.0000 0.5000 0.7318
Pd 0.0000 0.6823 0.0000
Pd 0.0000 0.7318 0.5000
Pd 0.2557 0.5000 0.5000
Pd 0.2682 0.0000 0.5000
Pd 0.2682 0.5000 0.0000
Pd 0.3177 0.0000 0.0000
Pd 0.5000 0.0000 0.2682
Pd 0.5000 0.0000 0.7318
Pd 0.5000 0.2557 0.5000
Pd 0.5000 0.2682 0.0000
Pd 0.5000 0.5000 0.2557
Pd 0.5000 0.5000 0.7443
Pd 0.5000 0.7318 0.0000
Pd 0.5000 0.7443 0.5000
Pd 0.6823 0.0000 0.0000
Pd 0.7318 0.0000 0.5000
Pd 0.7318 0.5000 0.0000
Pd 0.7443 0.5000 0.5000

Output
* SG: No. 221
* ρ: 10.90 g/cm3
* ΔH_f (0 K): -0.809 eV per atom
* total magnetization: 0.192 μB per atom